This record from OQMD describes crystalline Sc2AlZn2In at its relaxed geometry. The functional is PBE.

Lattice parameters (Å, degrees): 10.8728 4.4373 10.8760 90.00 109.47 90.00
Sites, in units of the cell vectors:
Al: 0.7511 0.0000 0.0016
Al: 0.1259 0.5000 0.1270
Al: 0.4981 0.0000 0.2493
Al: 0.2504 0.0000 0.4984
In: 0.8742 0.5000 0.3730
In: 0.6242 0.5000 0.6249
In: 0.0008 0.0000 0.7512
In: 0.3754 0.5000 0.8754
Sc: 0.2500 0.0000 0.0035
Sc: 0.6217 0.5000 0.1251
Sc: 0.0018 0.0000 0.2514
Sc: 0.3735 0.5000 0.3733
Sc: 0.7453 0.0000 0.4951
Sc: 0.1267 0.5000 0.6203
Sc: 0.5031 0.0000 0.7505
Sc: 0.8782 0.5000 0.8815
Zn: 0.0013 0.0000 0.0072
Zn: 0.3737 0.5000 0.1296
Zn: 0.7439 0.0000 0.2427
Zn: 0.1299 0.5000 0.3735
Zn: 0.4931 0.0000 0.4939
Zn: 0.8750 0.5000 0.6255
Zn: 0.2510 0.0000 0.7443
Zn: 0.6319 0.5000 0.8817

Properties
* energy: -93.9 eV per cell